[1]
This record from OQMD via LeMat-Bulk describes a geometry-optimized NdRe structure. The functional is PBE. Values from VASP.

## Properties
Density: 8.35 g/cm3
Energy of formation from the pure elements: 2.307 eV/atom
Raw total energy: -12.571 eV for the cell shown
Energy above the most stable polymorph in this dataset: 1241.6 meV/atom
Total magnetic moment: 1.000 μB/atom

The structure in Quantum ESPRESSO input format:
```
&SYSTEM
  ibrav = 0, nat = 2, ntyp = 2
/
ATOMIC_SPECIES
Nd 144.24 Nd.upf
Re 186.21 Re.upf
ATOMIC_POSITIONS crystal
Nd 0.000 0.000 0.000
Re 0.750 0.750 0.750
CELL_PARAMETERS angstrom
0.000 3.203 3.203
3.203 0.000 3.203
3.203 3.203 0.000
```



[2]
This record from OQMD via LeMat-Bulk describes a geometry-optimized Lu2ZnAg structure. The functional is PBE. Values from VASP.

## Properties
Density: 10.06 g/cm3
Energy of formation from the pure elements: 0.002 eV/atom
Raw total energy: -13.127 eV for the cell shown
Total magnetic moment: 0.020 μB/atom

The structure in Quantum ESPRESSO input format:
```
&SYSTEM
  ibrav = 0, nat = 4, ntyp = 3
/
ATOMIC_SPECIES
Lu 174.97 Lu.upf
Zn 65.41 Zn.upf
Ag 107.87 Ag.upf
ATOMIC_POSITIONS crystal
Lu 0.000 0.000 0.000
Lu 0.250 0.250 0.250
Zn 0.500 0.500 0.500
Ag 0.750 0.750 0.750
CELL_PARAMETERS angstrom
0.000 3.508 3.508
3.508 0.000 3.508
3.508 3.508 0.000
```



[3]
This record from OQMD via LeMat-Bulk describes a geometry-optimized ZrTl2Mo structure. The functional is PBE. Values from VASP.

## Properties
Density: 11.46 g/cm3
Raw total energy: -21.360 eV for the cell shown
Total magnetic moment: 0.019 μB/atom

The structure in Quantum ESPRESSO input format:
```
&SYSTEM
  ibrav = 0, nat = 4, ntyp = 3
/
ATOMIC_SPECIES
Zr 91.22 Zr.upf
Tl 204.38 Tl.upf
Mo 95.94 Mo.upf
ATOMIC_POSITIONS crystal
Zr 0.000 0.000 0.000
Tl 0.500 0.500 0.500
Tl 0.750 0.750 0.750
Mo 0.250 0.250 0.250
CELL_PARAMETERS angstrom
0.000 3.508 3.508
3.508 0.000 3.508
3.508 3.508 0.000
```



[4]
This record from OQMD via LeMat-Bulk describes a geometry-optimized CdAsIrO structure. The functional is PBE. Values from VASP.

## Properties
Density: 9.79 g/cm3
Raw total energy: -42.040 eV for the cell shown
Energy above the most stable polymorph in this dataset: 0.0 meV/atom
Total magnetic moment: 0.000 μB/atom

The structure in Quantum ESPRESSO input format:
```
&SYSTEM
  ibrav = 0, nat = 8, ntyp = 4
/
ATOMIC_SPECIES
Cd 112.41 Cd.upf
As 74.92 As.upf
Ir 192.22 Ir.upf
O 16.00 O.upf
ATOMIC_POSITIONS crystal
Cd 0.250 0.250 0.106
Cd 0.750 0.750 0.894
As 0.250 0.250 0.676
As 0.750 0.750 0.324
Ir 0.250 0.750 0.500
Ir 0.750 0.250 0.500
O 0.250 0.750 0.000
O 0.750 0.250 0.000
CELL_PARAMETERS angstrom
4.115 0.000 0.000
0.000 4.115 0.000
0.000 0.000 7.925
```



[5]
This record from OQMD via LeMat-Bulk describes a geometry-optimized RbZrTlTe3 structure. The functional is PBE. Values from VASP.

## Properties
Density: 5.89 g/cm3
Raw total energy: -52.277 eV for the cell shown
Energy above the most stable polymorph in this dataset: 0.0 meV/atom
Total magnetic moment: 0.001 μB/atom

The structure in Quantum ESPRESSO input format:
```
&SYSTEM
  ibrav = 0, nat = 12, ntyp = 4
/
ATOMIC_SPECIES
Rb 85.47 Rb.upf
Zr 91.22 Zr.upf
Tl 204.38 Tl.upf
Te 127.60 Te.upf
ATOMIC_POSITIONS crystal
Rb 0.249 0.250 0.481
Rb 0.751 0.750 0.519
Zr 0.405 0.750 0.835
Zr 0.595 0.250 0.165
Tl 0.063 0.750 0.141
Tl 0.937 0.250 0.859
Te 0.116 0.750 0.704
Te 0.309 0.250 0.988
Te 0.438 0.750 0.284
Te 0.562 0.250 0.716
Te 0.691 0.750 0.012
Te 0.884 0.250 0.296
CELL_PARAMETERS angstrom
8.605 0.000 0.000
0.000 4.272 0.000
-1.136 0.000 11.723
```



[6]
This record from OQMD via LeMat-Bulk describes a geometry-optimized ErTm2Sb3 structure. The functional is PBE. Values from VASP.

## Properties
Density: 8.35 g/cm3
Raw total energy: -32.332 eV for the cell shown
Total magnetic moment: 0.000 μB/atom

The structure in Quantum ESPRESSO input format:
```
&SYSTEM
  ibrav = 0, nat = 6, ntyp = 3
/
ATOMIC_SPECIES
Er 167.26 Er.upf
Tm 168.93 Tm.upf
Sb 121.76 Sb.upf
ATOMIC_POSITIONS crystal
Er 0.000 0.000 0.000
Tm 0.333 0.667 0.667
Tm 0.667 0.333 0.333
Sb 0.000 0.000 0.500
Sb 0.333 0.667 0.167
Sb 0.667 0.333 0.833
CELL_PARAMETERS angstrom
4.335 0.000 0.000
-2.168 3.754 0.000
0.000 0.000 10.631
```



[7]
This record from OQMD via LeMat-Bulk describes a geometry-optimized GdBeO3 structure. The functional is PBE. Values from VASP.

## Properties
Density: 6.73 g/cm3
Raw total energy: -145.385 eV for the cell shown
Total magnetic moment: 0.000 μB/atom

The structure in Quantum ESPRESSO input format:
```
&SYSTEM
  ibrav = 0, nat = 20, ntyp = 3
/
ATOMIC_SPECIES
Gd 157.25 Gd.upf
Be 9.01 Be.upf
O 16.00 O.upf
ATOMIC_POSITIONS crystal
Gd 0.000 0.000 0.000
Gd 0.000 0.500 0.000
Gd 0.500 0.000 0.500
Gd 0.500 0.500 0.500
Be 0.023 0.250 0.425
Be 0.477 0.750 0.925
Be 0.523 0.250 0.075
Be 0.977 0.750 0.575
O 0.049 0.604 0.392
O 0.049 0.896 0.392
O 0.151 0.750 0.832
O 0.349 0.250 0.332
O 0.451 0.104 0.892
O 0.451 0.396 0.892
O 0.549 0.604 0.108
O 0.549 0.896 0.108
O 0.651 0.750 0.668
O 0.849 0.250 0.168
O 0.951 0.104 0.608
O 0.951 0.396 0.608
CELL_PARAMETERS angstrom
4.741 0.000 0.000
0.000 8.056 0.000
0.000 0.000 5.537
```



[8]
This record from OQMD via LeMat-Bulk describes a geometry-optimized BaHoCuSeS2 structure. The functional is PBE. Values from VASP.

## Properties
Density: 5.73 g/cm3
Raw total energy: -63.734 eV for the cell shown
Total magnetic moment: 0.001 μB/atom

The structure in Quantum ESPRESSO input format:
```
&SYSTEM
  ibrav = 0, nat = 12, ntyp = 5
/
ATOMIC_SPECIES
Ba 137.33 Ba.upf
Ho 164.93 Ho.upf
Cu 63.55 Cu.upf
Se 78.96 Se.upf
S 32.06 S.upf
ATOMIC_POSITIONS crystal
Ba 0.242 0.758 0.750
Ba 0.758 0.242 0.250
Ho 0.000 0.000 0.000
Ho 0.000 0.000 0.500
Cu 0.469 0.531 0.250
Cu 0.531 0.469 0.750
Se 0.076 0.924 0.250
Se 0.924 0.076 0.750
S 0.375 0.625 0.067
S 0.375 0.625 0.433
S 0.625 0.375 0.567
S 0.625 0.375 0.933
CELL_PARAMETERS angstrom
2.027 -6.933 0.000
2.027 6.933 0.000
0.000 0.000 10.492
```



[9]
This record from OQMD via LeMat-Bulk describes a geometry-optimized KZrHg3Se4 structure. The functional is PBE. Values from VASP.

## Properties
Density: 4.95 g/cm3
Raw total energy: -29.262 eV for the cell shown
Total magnetic moment: 0.000 μB/atom

The structure in Quantum ESPRESSO input format:
```
&SYSTEM
  ibrav = 0, nat = 9, ntyp = 4
/
ATOMIC_SPECIES
K 39.10 K.upf
Zr 91.22 Zr.upf
Hg 200.59 Hg.upf
Se 78.96 Se.upf
ATOMIC_POSITIONS crystal
K 0.000 0.000 0.000
Zr 0.500 0.500 0.500
Hg 0.000 0.500 0.500
Hg 0.500 0.000 0.500
Hg 0.500 0.500 0.000
Se 0.289 0.289 0.289
Se 0.289 0.711 0.711
Se 0.711 0.289 0.711
Se 0.711 0.711 0.289
CELL_PARAMETERS angstrom
7.059 0.000 0.000
0.000 7.059 0.000
0.000 0.000 7.059
```



[10]
This record from OQMD via LeMat-Bulk describes a geometry-optimized ZnSbPbF structure. The functional is PBE. Values from VASP.

## Properties
Density: 7.42 g/cm3
Raw total energy: -56.143 eV for the cell shown
Energy above the most stable polymorph in this dataset: 80.7 meV/atom

The structure in Quantum ESPRESSO input format:
```
&SYSTEM
  ibrav = 0, nat = 16, ntyp = 4
/
ATOMIC_SPECIES
Zn 65.41 Zn.upf
Sb 121.76 Sb.upf
Pb 207.20 Pb.upf
F 19.00 F.upf
ATOMIC_POSITIONS crystal
Zn 0.174 0.000 0.090
Zn 0.326 0.960 0.590
Zn 0.674 0.460 0.410
Zn 0.826 0.500 0.910
Sb 0.076 0.127 0.397
Sb 0.424 0.833 0.898
Sb 0.576 0.333 0.102
Sb 0.924 0.627 0.603
Pb 0.201 0.533 0.253
Pb 0.299 0.428 0.753
Pb 0.701 0.928 0.247
Pb 0.799 0.033 0.747
F 0.074 0.333 0.982
F 0.426 0.627 0.482
F 0.574 0.127 0.518
F 0.926 0.833 0.018
CELL_PARAMETERS angstrom
7.275 0.000 0.000
0.000 6.655 0.000
-0.006 0.000 7.640
```



[11]
This record from OQMD via LeMat-Bulk describes a geometry-optimized Lu4Ta2Al3N3 structure. The functional is PBE. Values from VASP.

## Properties
Density: 9.88 g/cm3
Raw total energy: -178.921 eV for the cell shown
Total magnetic moment: 0.000 μB/atom

The structure in Quantum ESPRESSO input format:
```
&SYSTEM
  ibrav = 0, nat = 24, ntyp = 4
/
ATOMIC_SPECIES
Lu 174.97 Lu.upf
Ta 180.95 Ta.upf
Al 26.98 Al.upf
N 14.01 N.upf
ATOMIC_POSITIONS crystal
Lu 0.037 0.193 0.095
Lu 0.129 0.302 0.405
Lu 0.193 0.037 0.595
Lu 0.302 0.129 0.905
Lu 0.698 0.871 0.095
Lu 0.807 0.963 0.405
Lu 0.871 0.698 0.595
Lu 0.963 0.807 0.905
Ta 0.356 0.526 0.077
Ta 0.474 0.644 0.423
Ta 0.526 0.356 0.577
Ta 0.644 0.474 0.923
Al 0.144 0.856 0.250
Al 0.310 0.417 0.751
Al 0.417 0.310 0.251
Al 0.583 0.690 0.749
Al 0.690 0.583 0.249
Al 0.856 0.144 0.750
N 0.000 0.500 0.000
N 0.172 0.664 0.500
N 0.336 0.828 0.000
N 0.500 0.000 0.500
N 0.664 0.172 0.000
N 0.828 0.336 0.500
CELL_PARAMETERS angstrom
4.944 -2.871 0.000
4.944 2.871 0.000
-3.289 0.000 14.032
```



[12]
This record from OQMD via LeMat-Bulk describes a geometry-optimized Ho2ErIn3CuAu2 structure. The functional is PBE. Values from VASP.

## Properties
Density: 10.78 g/cm3
Raw total energy: -38.171 eV for the cell shown
Total magnetic moment: 0.000 μB/atom

The structure in Quantum ESPRESSO input format:
```
&SYSTEM
  ibrav = 0, nat = 9, ntyp = 5
/
ATOMIC_SPECIES
Ho 164.93 Ho.upf
Er 167.26 Er.upf
In 114.82 In.upf
Cu 63.55 Cu.upf
Au 196.97 Au.upf
ATOMIC_POSITIONS crystal
Ho 0.000 0.201 0.799
Ho 0.000 0.799 0.201
Er 0.000 0.604 0.604
In 0.500 0.202 0.452
In 0.500 0.452 0.202
In 0.500 0.951 0.951
Cu 0.000 0.202 0.202
Au 0.500 0.535 0.868
Au 0.500 0.868 0.535
CELL_PARAMETERS angstrom
3.849 0.000 0.000
0.000 6.707 3.876
0.000 -6.707 3.876
```



Question: Which formula does entry 1 have?
Answer: NdRe



Question: What is the formula in the eleventh record?
Answer: Lu4Ta2Al3N3



What did the sixth record say?
This record from OQMD via LeMat-Bulk describes a geometry-optimized ErTm2Sb3 structure. The functional is PBE. Values from VASP.

## Properties
Density: 8.35 g/cm3
Raw total energy: -32.332 eV for the cell shown
Total magnetic moment: 0.000 μB/atom

The structure in Quantum ESPRESSO input format:
```
&SYSTEM
  ibrav = 0, nat = 6, ntyp = 3
/
ATOMIC_SPECIES
Er 167.26 Er.upf
Tm 168.93 Tm.upf
Sb 121.76 Sb.upf
ATOMIC_POSITIONS crystal
Er 0.000 0.000 0.000
Tm 0.333 0.667 0.667
Tm 0.667 0.333 0.333
Sb 0.000 0.000 0.500
Sb 0.333 0.667 0.167
Sb 0.667 0.333 0.833
CELL_PARAMETERS angstrom
4.335 0.000 0.000
-2.168 3.754 0.000
0.000 0.000 10.631
```